First-principles (meta-GGA SCAN) data for a crystal of Na3YP relaxed with PBEsol, as listed in the Alexandria database.

## Properties
Total energy   -8.78 eV per atom

abc: 5.988 5.988 5.988
angles: 90.00 90.00 90.00
Space group Pm-3m (No. 221)
Symmetry-distinct sites (fractional):
Na (0.000, 0.000, 0.500) x3
Y (0.000, 0.000, 0.000) x1
P (0.500, 0.500, 0.500) x1